Crystalline ScAgRu2 at its relaxed geometry. Source: Alexandria via LeMat-Bulk, functional PBE.

Crystal system   orthorhombic
Total magnetic moment   0.05 μB/atom
Uncorrected energy   -54.3 eV per cell
Fermi-level density of states   11.5 states/eV per cell
Calculated formation energy   0.1457 eV/atom
ρ   9.036 g/cm³
Energy relative to the lowest polymorph listed for this composition   46 kJ/mol of formula units

Unit cell a=3.1029 b=4.5940 c=9.1522 alpha=90.00 beta=90.00 gamma=90.00
Last column: nearest neighbours and their distance in Å.
Space group Immm (No. 71)
One atom of each set of equivalent atoms:
Sc1 0.0000 0.0000 0.0000  4 Ru 2.67, 4 Ag 2.77
Ag1 0.0000 0.0000 0.5000  4 Sc 2.77, 4 Ru 2.86, 2 Ag 3.10
Ru1 0.0000 0.5000 0.2627  2 Sc 2.67, 4 Ru 2.78, 2 Ag 2.86